Material: Tm2PuO6
Method: DFT, PBE
State: optimized geometry

a = 3.8081 Å, b = 5.2808 Å, c = 6.3745 Å
α = 114.47°, β = 107.38°, γ = 90.00°
Site moments in Bohr magnetons follow the coordinates.
Element x y z (fractional)
Tm  0.3337  0.3336  0.6672  -0.01
Tm  0.6663  0.6664  0.3328  -0.01
O  0.5000  0.7649  0.0000  -0.11
O  0.8417  0.0859  0.6833  -0.09
O  0.8417  0.5974  0.6833  -0.09
O  0.1583  0.9141  0.3167  -0.09
O  0.5000  0.2351  0.0000  -0.11
O  0.1583  0.4026  0.3167  -0.09
Pu  0.0000  0.0000  0.0000  2.66

Calculated values
Formation energy (no corrections) ... -3159 meV per atom
V ... 110.2 Å³/f.u.
E_tot ... -81.457 eV per cell
Theoretical density ... 10.21 g/cm3



Material: NbVRu5
Method: DFT, PBE
State: optimized geometry

a = 4.1430 Å, b = 4.1430 Å, c = 6.2330 Å
α = 90.00°, β = 90.00°, γ = 90.00°
Element x y z (fractional)
V  0.5000  0.5000  0.0000
Ru  0.0000  0.5000  0.7839
Ru  0.0000  0.5000  0.2161
Ru  0.5000  0.0000  0.2161
Ru  0.5000  0.0000  0.7839
Ru  0.5000  0.5000  0.5000
Nb  0.0000  0.0000  0.5000

Calculated values
Formation energy ... 0.112 eV/atom
V ... 107.0 Å³/f.u.
E_tot ... -64.785 eV per cell
Theoretical density ... 10.08 g/cm3



Material: PuBeSiIr
Method: DFT, PBE
State: optimized geometry

a = 4.1086 Å, b = 4.1086 Å, c = 5.4689 Å
α = 67.94°, β = 67.94°, γ = 60.00°
Site moments in Bohr magnetons follow the coordinates.
Element x y z (fractional)
Si  0.2902  0.2902  0.1295  -0.02
Ir  0.6228  0.6228  0.1315  -0.09
Pu  0.8115  0.8115  0.5655  5.26
Be  0.0014  0.0014  0.9958  0.03

Calculated values
Formation energy (no corrections) ... -426 meV per atom
V ... 72.0 Å³/f.u.
E_tot ... -34.047 eV per cell
Theoretical density ... 10.91 g/cm3



Material: CaEr2Au4
Method: DFT, PBE
State: optimized geometry

a = 6.0820 Å, b = 6.0820 Å, c = 6.0820 Å
α = 109.99°, β = 109.21°, γ = 109.21°
Element x y z (fractional)
Au  0.5000  0.5000  0.5000
Au  0.5000  0.0000  0.0000
Au  0.0000  0.0000  0.5000
Au  0.0000  0.5000  0.0000
Er  0.5000  0.5000  0.0000
Er  0.5000  0.0000  0.5000
Ca  0.0000  0.0000  0.0000

Calculated values
Formation energy ... -0.640 eV/atom
V ... 173.2 Å³/f.u.
E_tot ... -28.717 eV per cell
Theoretical density ... 11.15 g/cm3



Material: K5In2Au
Method: DFT, PBE
State: optimized geometry

a = 4.8027 Å, b = 6.9820 Å, c = 22.1969 Å
α = 90.00°, β = 90.00°, γ = 110.12°
Element x y z (fractional)
K  0.0863  0.1726  0.3782
K  0.3536  0.7072  0.4416
K  0.4927  0.9854  0.2500
K  0.9137  0.8274  0.6218
K  0.0863  0.1726  0.1218
K  0.5073  0.0146  0.7500
K  0.6464  0.2928  0.9416
K  0.9137  0.8274  0.8782
K  0.6464  0.2928  0.5584
K  0.3536  0.7072  0.0584
In  0.2215  0.4429  0.6810
In  0.2215  0.4429  0.8190
In  0.7785  0.5571  0.1810
In  0.7785  0.5571  0.3190
Au  0.2372  0.4743  0.2500
Au  0.7628  0.5257  0.7500

Calculated values
Formation energy ... -0.126 eV/atom
V ... 349.5 Å³/f.u.
E_tot ... -30.502 eV per cell
Theoretical density ... 2.96 g/cm3



Material: Li2CdSnHg4
Method: DFT, PBE
State: optimized geometry

a = 4.9137 Å, b = 4.9137 Å, c = 8.9951 Å
α = 74.15°, β = 74.15°, γ = 60.00°
Element x y z (fractional)
Hg  0.1256  0.1256  0.6231
Hg  0.8744  0.8744  0.3769
Hg  0.3813  0.3813  0.8562
Hg  0.6187  0.6187  0.1438
Cd  0.5000  0.5000  0.5000
Sn  0.0000  0.0000  0.0000
Li  0.2494  0.2494  0.2518
Li  0.7506  0.7506  0.7482

Calculated values
Formation energy ... -0.183 eV/atom
V ... 178.5 Å³/f.u.
E_tot ... -11.417 eV per cell
Theoretical density ... 9.74 g/cm3



Material: Pr2HSe2
Method: DFT, PBE
State: optimized geometry

a = 3.9376 Å, b = 5.6246 Å, c = 11.3801 Å
α = 90.00°, β = 90.00°, γ = 110.49°
Site moments in Bohr magnetons follow the coordinates.
Element x y z (fractional)
Pr  0.9618  0.9237  0.3842  0.11
Pr  0.0382  0.0763  0.8842  0.11
Pr  0.2365  0.4731  0.1344  0.09
Pr  0.7635  0.5269  0.6344  0.09
Se  0.6791  0.3583  0.3380  0.00
Se  0.0544  0.1089  0.6277  0.00
Se  0.9456  0.8911  0.1277  0.00
Se  0.3209  0.6417  0.8380  0.00
H  0.6399  0.2799  0.0010  0.00
H  0.3601  0.7201  0.5010  0.00

Calculated values
V ... 118.0 Å³/f.u.
E_tot ... -53.741 eV per cell
Theoretical density ... 6.20 g/cm3



Material: EuNiBi2
Method: DFT, PBE
State: optimized geometry

a = 3.7288 Å, b = 3.7288 Å, c = 10.2000 Å
α = 79.47°, β = 79.47°, γ = 60.00°
Site moments in Bohr magnetons follow the coordinates.
Element x y z (fractional)
Bi  0.8873  0.8873  0.3380  -0.01
Bi  0.1127  0.1127  0.6620  -0.01
Ni  0.5000  0.5000  0.5000  -0.04
Eu  0.0000  0.0000  0.0000  -7.11

Calculated values
Formation energy ... 0.035 eV/atom
V ... 120.1 Å³/f.u.
E_tot ... -23.679 eV per cell
Theoretical density ... 8.69 g/cm3



Material: K2PmDyS4
Method: DFT, PBE
State: optimized geometry

a = 4.1085 Å, b = 7.1178 Å, c = 7.7528 Å
α = 107.80°, β = 90.00°, γ = 90.00°
Element x y z (fractional)
S  0.0000  0.2716  0.7973
S  0.5000  0.7590  0.7948
S  0.0000  0.7284  0.2027
S  0.5000  0.2410  0.2052
Dy  0.5000  0.5000  0.0000
K  0.5000  0.0000  0.5000
K  0.0000  0.5000  0.5000
Pm  0.0000  0.0000  0.0000

Calculated values
Formation energy (no corrections) ... -1874 meV per atom
V ... 215.9 Å³/f.u.
E_tot ... -43.046 eV per cell
Theoretical density ... 3.95 g/cm3



Material: Ho5In2Co
Method: DFT, PBE
State: optimized geometry

a = 4.8104 Å, b = 7.0339 Å, c = 12.2865 Å
α = 90.00°, β = 90.00°, γ = 90.00°
Element x y z (fractional)
Ho  0.5000  0.6772  0.9194
Ho  0.5000  0.3228  0.0806
Ho  0.0000  0.3835  0.7937
Ho  0.5000  0.1772  0.5806
Ho  0.5000  0.8228  0.4194
Ho  0.0000  0.8835  0.7063
Ho  0.0000  0.6165  0.2063
Ho  0.0000  0.1165  0.2937
Ho  0.0000  0.5000  0.5000
Ho  0.0000  0.0000  0.0000
In  0.5000  0.6044  0.6614
In  0.5000  0.8956  0.1614
In  0.5000  0.3956  0.3386
In  0.5000  0.1044  0.8386
Co  0.0000  0.0000  0.5000
Co  0.0000  0.5000  0.0000

Calculated values
Formation energy ... -0.303 eV/atom
V ... 207.9 Å³/f.u.
Energy above the most stable polymorph in this dataset ... 0.0000 eV/atom
E_tot ... -75.787 eV per cell
Theoretical density ... 8.89 g/cm3



Material: BiH3Au
Method: DFT, PBE
State: optimized geometry

a = 4.1330 Å, b = 4.1330 Å, c = 4.1330 Å
α = 90.00°, β = 90.00°, γ = 90.00°
Element x y z (fractional)
H  0.0000  0.5000  0.0000
H  0.0000  0.0000  0.5000
H  0.5000  0.0000  0.0000
Au  0.5000  0.5000  0.5000
Bi  0.0000  0.0000  0.0000

Calculated values
V ... 70.6 Å³/f.u.
Energy above the most stable polymorph in this dataset ... 0.1358 eV/atom
E_tot ... -13.558 eV per cell
Theoretical density ... 9.62 g/cm3



Material: Bi2SbHPd
Method: DFT, PBE
State: optimized geometry

a = 5.6053 Å, b = 5.6053 Å, c = 3.5711 Å
α = 90.00°, β = 90.00°, γ = 90.00°
Element x y z (fractional)
H  0.0000  0.0000  0.5000
Pd  0.0000  0.0000  0.0000
Sb  0.5000  0.5000  0.5000
Bi  0.5000  0.0000  0.0000
Bi  0.0000  0.5000  0.0000

Calculated values
V ... 112.2 Å³/f.u.
E_tot ... -20.289 eV per cell
Theoretical density ... 9.58 g/cm3



Material: SrBiCl3
Method: DFT, PBE
State: optimized geometry

a = 5.6927 Å, b = 5.6927 Å, c = 5.6927 Å
α = 90.00°, β = 90.00°, γ = 90.00°
Element x y z (fractional)
Cl  0.0000  0.0000  0.5000
Cl  0.5000  0.0000  0.0000
Cl  0.0000  0.5000  0.0000
Sr  0.5000  0.5000  0.5000
Bi  0.0000  0.0000  0.0000

Calculated values
Formation energy (no corrections) ... -844 meV per atom
V ... 184.5 Å³/f.u.
Energy above the most stable polymorph in this dataset ... 0.3221 eV/atom
E_tot ... -15.321 eV per cell
Theoretical density ... 3.63 g/cm3



Material: LiLa2ZnIn6
Method: DFT, PBE
State: optimized geometry

a = 7.2309 Å, b = 7.2290 Å, c = 7.1795 Å
α = 60.18°, β = 60.17°, γ = 89.97°
Element x y z (fractional)
In  0.2552  0.7448  0.0000
In  0.2587  0.2587  0.4900
In  0.7413  0.7413  0.5100
In  0.7448  0.2552  0.0000
In  0.7426  0.7426  0.0046
In  0.2574  0.2574  0.9954
Zn  0.0000  0.0000  0.0000
La  0.2483  0.7517  0.5000
La  0.7517  0.2483  0.5000
Li  0.5000  0.5000  0.0000

Calculated values
Formation energy ... -0.165 eV/atom
V ... 266.8 Å³/f.u.
E_tot ... -31.123 eV per cell
Theoretical density ... 6.47 g/cm3



Material: CaZrBi
Method: DFT, PBE
State: optimized geometry

a = 3.8642 Å, b = 3.8642 Å, c = 11.7748 Å
α = 90.00°, β = 90.00°, γ = 90.00°
Element x y z (fractional)
Ca  0.5000  0.0000  0.1232
Ca  0.0000  0.5000  0.8768
Zr  0.0000  0.5000  0.5698
Zr  0.5000  0.0000  0.4302
Bi  0.0000  0.5000  0.3021
Bi  0.5000  0.0000  0.6979

Calculated values
Formation energy ... -0.439 eV/atom
V ... 87.9 Å³/f.u.
Energy above the most stable polymorph in this dataset ... 0.1415 eV/atom
E_tot ... -31.495 eV per cell
Theoretical density ... 6.43 g/cm3



Material: RbYRhPb2
Method: DFT, PBE
State: optimized geometry

a = 5.5515 Å, b = 5.2319 Å, c = 5.5515 Å
α = 90.00°, β = 90.00°, γ = 90.00°
Element x y z (fractional)
Rh  0.0000  0.0000  0.0000
Pb  0.5000  0.0000  0.0000
Pb  0.0000  0.0000  0.5000
Rb  0.5000  0.5000  0.5000
Y  0.0000  0.5000  0.0000

Calculated values
Formation energy ... -0.068 eV/atom
V ... 161.2 Å³/f.u.
E_tot ... -22.542 eV per cell
Theoretical density ... 7.12 g/cm3



Material: Be3Al
Method: DFT, PBE
State: optimized geometry

a = 2.5142 Å, b = 2.5142 Å, c = 7.8878 Å
α = 90.00°, β = 90.00°, γ = 120.00°
Element x y z (fractional)
Be  0.6667  0.3333  0.7171
Be  0.6667  0.3333  0.2829
Be  0.0000  0.0000  0.5000
Al  0.0000  0.0000  0.0000

Calculated values
Formation energy ... 0.326 eV/atom
V ... 43.2 Å³/f.u.
E_tot ... -13.618 eV per cell
Theoretical density ... 2.08 g/cm3



Material: TbErInRh
Method: DFT, PBE
State: optimized geometry

a = 5.0861 Å, b = 5.0861 Å, c = 5.0861 Å
α = 60.00°, β = 60.00°, γ = 60.00°
Element x y z (fractional)
Tb  0.7500  0.7500  0.7500
Er  0.2500  0.2500  0.2500
Rh  0.5000  0.5000  0.5000
In  0.0000  0.0000  0.0000

Calculated values
Formation energy ... -0.567 eV/atom
V ... 93.0 Å³/f.u.
Energy above the most stable polymorph in this dataset ... 0.1202 eV/atom
E_tot ... -21.550 eV per cell
Theoretical density ... 9.71 g/cm3



Material: Pm3TeBr2O6
Method: DFT, PBE
State: optimized geometry

a = 5.8341 Å, b = 6.8095 Å, c = 6.9394 Å
α = 119.38°, β = 80.41°, γ = 90.00°
Element x y z (fractional)
Pm  0.5000  0.0000  0.5000
Pm  0.5000  0.5000  0.5000
Pm  0.0000  0.5000  0.0000
Te  0.5000  0.0000  0.0000
O  0.3408  0.1647  0.3293
O  0.3015  0.7011  0.8844
O  0.6592  0.8353  0.6707
O  0.6985  0.8167  0.1156
O  0.3015  0.1833  0.8844
O  0.6985  0.2989  0.1156
Br  0.1240  0.7174  0.4347
Br  0.8760  0.2826  0.5653

Calculated values
Formation energy (no corrections) ... -2020 meV per atom
V ... 235.8 Å³/f.u.
E_tot ... -74.730 eV per cell
Theoretical density ... 5.76 g/cm3



Material: PrUGa2Pt5
Method: DFT, PBE
State: optimized geometry

a = 4.2922 Å, b = 4.2922 Å, c = 9.2249 Å
α = 90.00°, β = 90.00°, γ = 90.00°
Site moments in Bohr magnetons follow the coordinates.
Element x y z (fractional)
Pt  0.0000  0.5000  0.2670  0.05
Pt  0.5000  0.0000  0.7330  0.05
Pt  0.5000  0.0000  0.2670  0.05
Pt  0.0000  0.5000  0.7330  0.05
Pt  0.5000  0.5000  0.5000  -0.03
Pr  0.0000  0.0000  0.5000  -0.01
Ga  0.5000  0.5000  0.1319  0.00
Ga  0.5000  0.5000  0.8681  0.00
U  0.0000  0.0000  0.0000  2.44

Calculated values
Formation energy ... -0.668 eV/atom
V ... 170.0 Å³/f.u.
E_tot ... -58.342 eV per cell
Theoretical density ... 14.60 g/cm3



Material: Sr2NiSn3Rh4
Method: DFT, PBE
State: optimized geometry

a = 4.4249 Å, b = 4.4249 Å, c = 10.9960 Å
α = 90.00°, β = 90.00°, γ = 90.00°
Element x y z (fractional)
Sr  0.5000  0.0000  0.2578
Sr  0.0000  0.5000  0.7422
Sn  0.0000  0.5000  0.1309
Sn  0.5000  0.0000  0.8691
Sn  0.0000  0.0000  0.5000
Rh  0.0000  0.5000  0.3731
Rh  0.0000  0.0000  0.0000
Rh  0.5000  0.0000  0.6269
Rh  0.5000  0.5000  0.0000
Ni  0.5000  0.5000  0.5000

Calculated values
Formation energy ... -0.495 eV/atom
V ... 215.3 Å³/f.u.
E_tot ... -55.512 eV per cell
Theoretical density ... 7.73 g/cm3



Material: La8SmEr5
Method: DFT, PBE
State: optimized geometry

a = 8.6546 Å, b = 8.6546 Å, c = 8.6546 Å
α = 111.36°, β = 105.75°, γ = 111.36°
Element x y z (fractional)
La  0.7356  0.2620  0.3373
La  0.6627  0.3983  0.9247
La  0.5264  0.6017  0.2644
La  0.3438  0.2756  0.4338
La  0.1582  0.7244  0.0682
La  0.5662  0.9100  0.8418
La  0.0753  0.7380  0.4736
La  0.9318  0.0900  0.6562
Er  0.5000  0.0000  0.5000
Er  0.2727  0.0919  0.9663
Er  0.8192  0.6936  0.7273
Er  0.8744  0.9081  0.1808
Er  0.0337  0.3064  0.1256
Sm  0.2500  0.5000  0.7500

Calculated values
Formation energy ... 0.238 eV/atom
V ... 497.5 Å³/f.u.
E_tot ... -63.620 eV per cell
Theoretical density ... 7.00 g/cm3



Material: TlTcW2
Method: DFT, PBE
State: optimized geometry

a = 4.5869 Å, b = 4.5869 Å, c = 4.5869 Å
α = 60.00°, β = 60.00°, γ = 60.00°
Element x y z (fractional)
W  0.7500  0.7500  0.7500
W  0.0000  0.0000  0.0000
Tl  0.2500  0.2500  0.2500
Tc  0.5000  0.5000  0.5000

Calculated values
Formation energy ... 0.726 eV/atom
V ... 68.2 Å³/f.u.
Energy above the most stable polymorph in this dataset ... 0.1770 eV/atom
E_tot ... -35.734 eV per cell
Theoretical density ... 16.30 g/cm3



Material: Ta2InBr
Method: DFT, PBE
State: optimized geometry

a = 3.1000 Å, b = 3.1000 Å, c = 10.5560 Å
α = 90.00°, β = 90.00°, γ = 112.91°
Element x y z (fractional)
Ta  0.5000  0.5000  0.2338
Ta  0.0000  0.0000  0.0341
Br  0.0000  0.0000  0.4326
In  0.5000  0.5000  0.7995

Calculated values
Formation energy (no corrections) ... 139 meV per atom
V ... 93.4 Å³/f.u.
Energy above the most stable polymorph in this dataset ... 0.0682 eV/atom
E_tot ... -27.561 eV per cell
Theoretical density ... 9.89 g/cm3



Material: Cs2AcDyS4
Method: DFT, PBE
State: optimized geometry

a = 4.3000 Å, b = 7.4542 Å, c = 8.4653 Å
α = 106.92°, β = 90.00°, γ = 90.00°
Element x y z (fractional)
S  0.5000  0.2484  0.1890
S  0.5000  0.7516  0.8110
S  0.0000  0.2885  0.8170
S  0.0000  0.7115  0.1830
Cs  0.5000  0.0000  0.5000
Cs  0.0000  0.5000  0.5000
Ac  0.0000  0.0000  0.0000
Dy  0.5000  0.5000  0.0000

Calculated values
Formation energy (no corrections) ... -1832 meV per atom
V ... 259.6 Å³/f.u.
E_tot ... -41.581 eV per cell
Theoretical density ... 5.01 g/cm3